No. 1
VASP calculation (PBE-GGA) on an optimized crystal structure of MgMnCo2C.

Unit cell a=3.818 b=3.818 c=3.839 alpha=90.00 beta=90.00 gamma=90.00
Last column: magnetic moment on the atom in μB.
Fractional coordinates of all 5 atoms:
Co1 0.000 0.500 0.000  0.61
Co2 0.500 0.000 0.000  0.61
Mg1 0.500 0.500 0.500  -0.03
Mn1 0.000 0.000 0.500  2.12
C1 0.000 0.000 0.000  -0.10

Calculated values
**Crystal system**: tetragonal
**E_form**: -0.040 eV per atom
**M_tot**: 3.2 μB per formula unit

***

No. 2
VASP calculation (PBE-GGA) on an optimized crystal structure of Tl4PtPb.

Unit cell a=6.248 b=6.248 c=6.248 alpha=60.00 beta=60.00 gamma=60.00
Fractional coordinates of all 6 atoms:
Pb1 0.750 0.750 0.750
Tl1 0.877 0.374 0.374
Tl2 0.374 0.877 0.374
Tl3 0.374 0.374 0.374
Tl4 0.374 0.374 0.877
Pt1 0.000 0.000 0.000

Calculated values
**Crystal system**: cubic
**E_form**: 0.422 eV per atom
**M_tot**: 0.0 μB per formula unit

***

No. 3
VASP calculation (PBE-GGA) on an optimized crystal structure of SrFeCu2Hg.

Unit cell a=4.685 b=5.511 c=4.685 alpha=90.00 beta=90.00 gamma=90.00
Last column: magnetic moment on the atom in μB.
Fractional coordinates of all 5 atoms:
Cu1 0.500 0.000 0.000  0.07
Cu2 0.000 0.000 0.500  0.21
Hg1 0.500 0.500 0.500  -0.02
Fe1 0.000 0.000 0.000  2.50
Sr1 0.000 0.500 0.000  -0.05

Calculated values
**Crystal system**: tetragonal
**E_form**: 0.610 eV per atom
**M_tot**: 2.5 μB per formula unit